Record 1
## ZrPdPb2 (PBE)

Data for a relaxed ZrPdPb2 crystal.

Output
For the energy of formation, the calculation gives -0.176 eV per atom. The distance to the lowest polymorph of the same formula comes out at 0.0 meV per atom. The total DFT energy (no corrections) comes out at -5.47 eV per atom.

Cell lengths 4.091, 4.659, 4.659 Å; angles 90.00, 90.00, 90.00 degrees
Atoms (fractional coordinates):
Pb  0.000  0.000  0.500
Pb  0.000  0.500  0.000
Zr  0.500  0.500  0.500
Pd  0.500  0.000  0.000



Record 2
## AgSn3Se6 (PBE)

Data for a relaxed AgSn3Se6 crystal.

Output
The distance to the lowest polymorph of the same formula comes out at 0.0 meV per atom. The total DFT energy (no corrections) comes out at -3.82 eV per atom. The uncorrected formation energy is -5.700 kcal/mol of atoms.

Cell lengths 6.975, 6.975, 7.587 Å; angles 62.64, 62.64, 60.00 degrees
Atoms (fractional coordinates):
Ag  0.913  0.913  0.262
Sn  0.331  0.331  0.006
Sn  0.655  0.655  0.035
Sn  0.132  0.132  0.603
Se  0.923  0.535  0.271
Se  0.271  0.923  0.271
Se  0.535  0.271  0.271
Se  0.068  0.457  0.760
Se  0.714  0.068  0.760
Se  0.457  0.714  0.760



Record 3
## YTmTh (PBE)

Data for a relaxed YTmTh crystal.

Output
For the energy of formation, the calculation gives 0.025 eV per atom. The distance to the lowest polymorph of the same formula comes out at 3.2 meV per atom. The total DFT energy (no corrections) comes out at -6.09 eV per atom.

Cell lengths 3.567, 3.567, 7.893 Å; angles 103.06, 103.06, 90.00 degrees
Atoms (fractional coordinates):
Y  0.996  0.996  0.992
Tm  0.672  0.672  0.344
Th  0.332  0.332  0.664